Hf4Zr2Ge3N3: relaxed, GGA-PBE.

Computed properties:
V in Å³ per atom: 15.54
Total energy in eV per atom: -9.122
SG: C2/c (15)
Total moment in μB/cell: 0.0

a = 5.638 Å, b = 5.638 Å, c = 13.932 Å
α = 101.69°, β = 101.69°, γ = 60.00°
Element x y z (fractional)
Hf (0.972, 0.799, 0.408)
N (0.844, 0.328, 0.000)
Hf (0.201, 0.028, 0.092)
N (0.500, 0.000, 0.000)
Hf (0.139, 0.303, 0.908)
Zr (0.633, 0.467, 0.404)
N (0.328, 0.844, 0.500)
Hf (0.861, 0.697, 0.092)
Hf (0.028, 0.201, 0.592)
Zr (0.533, 0.367, 0.096)
Ge (0.583, 0.758, 0.251)
N (0.156, 0.672, 0.000)
Zr (0.367, 0.533, 0.596)
Ge (0.071, 0.929, 0.750)
N (0.000, 0.500, 0.500)
Hf (0.303, 0.139, 0.408)
N (0.672, 0.156, 0.500)
Hf (0.799, 0.972, 0.908)
Hf (0.697, 0.861, 0.592)
Ge (0.242, 0.417, 0.249)
Ge (0.929, 0.071, 0.250)
Ge (0.758, 0.583, 0.751)
Ge (0.417, 0.242, 0.749)
Zr (0.467, 0.633, 0.904)

***

HfMgTlFe: relaxed, GGA-PBE.

Computed properties:
Offset from the most stable computed form in meV/atom: 0
V in Å³ per atom: 18.03
SG: F-43m (216)
Total moment in μB/cell: 1.1

a = 4.672 Å, b = 4.672 Å, c = 4.672 Å
α = 60.00°, β = 60.00°, γ = 60.00°
Element x y z (fractional)
Fe (0.750, 0.750, 0.750)
Mg (0.250, 0.250, 0.250)
Tl (0.000, 0.000, 0.000)
Hf (0.500, 0.500, 0.500)

***

Y2ScPd: relaxed, GGA-PBE.

Computed properties:
V in Å³ per atom: 23.57
SG: F-43m (216)
E_form in eV per formula unit: -0.40
Total moment in μB/cell: 1.3

a = 5.109 Å, b = 5.109 Å, c = 5.109 Å
α = 60.00°, β = 60.00°, γ = 60.00°
Each line ends with the local moment (μB).
Element x y z (fractional)
Y (0.500, 0.500, 0.500)  0.35
Sc (0.250, 0.250, 0.250)  0.34
Pd (0.000, 0.000, 0.000)  0.05
Y (0.750, 0.750, 0.750)  0.17

***

LiGaCu2: relaxed, GGA-PBE.

Computed properties:
V in Å³ per atom: 12.86
Total energy in eV per atom: -3.182
SG: P4/mmm (123)

a = 3.021 Å, b = 3.021 Å, c = 5.635 Å
α = 90.00°, β = 90.00°, γ = 90.00°
Element x y z (fractional)
Cu (0.500, 0.500, 0.254)
Ga (0.000, 0.000, 0.000)
Cu (0.500, 0.500, 0.746)
Li (0.000, 0.000, 0.500)

***

KTcO3: relaxed, GGA-PBE.

Computed properties:
V in Å³ per atom: 15.28
Total energy in eV per atom: -5.556
SG: P4mm (99)
Total moment in μB/cell: 0.8

a = 3.854 Å, b = 3.854 Å, c = 5.142 Å
α = 90.00°, β = 90.00°, γ = 90.00°
Each line ends with the local moment (μB).
Element x y z (fractional)
O (0.000, 0.500, 0.792)  -0.11
Tc (0.000, 0.000, 0.826)  0.39
K (0.500, 0.500, 0.469)  0.00
O (0.500, 0.000, 0.792)  -0.11
O (0.500, 0.500, 0.021)  -0.89

***

Ta4Re9: relaxed, GGA-PBE.

Computed properties:
Offset from the most stable computed form in meV/atom: 152
V in Å³ per atom: 16.33
SG: R-3m (166)
E_form in eV per formula unit: 0.15
Total moment in μB/cell: 0.0

a = 9.799 Å, b = 9.799 Å, c = 9.799 Å
α = 30.31°, β = 30.31°, γ = 30.31°
Element x y z (fractional)
Re (0.000, 0.000, 0.000)
Re (0.654, 0.654, 0.654)
Ta (0.833, 0.833, 0.833)
Re (0.346, 0.346, 0.346)
Re (0.587, 0.094, 0.094)
Re (0.413, 0.906, 0.906)
Ta (0.167, 0.167, 0.167)
Re (0.094, 0.587, 0.094)
Re (0.906, 0.906, 0.413)
Ta (0.452, 0.452, 0.452)
Re (0.906, 0.413, 0.906)
Re (0.094, 0.094, 0.587)
Ta (0.548, 0.548, 0.548)

***

AcTcSb: relaxed, GGA-PBE.

Computed properties:
Offset from the most stable computed form in meV/atom: 0
V in Å³ per atom: 30.80
SG: F-43m (216)
Total moment in μB/cell: 2.5

a = 5.075 Å, b = 5.075 Å, c = 5.075 Å
α = 60.00°, β = 60.00°, γ = 60.00°
Each line ends with the local moment (μB).
Element x y z (fractional)
Tc (0.750, 0.750, 0.750)  2.14
Ac (0.250, 0.250, 0.250)  -0.01
Sb (0.000, 0.000, 0.000)  0.00

***

Y3Ho3Te2Ir: relaxed, GGA-PBE.

Computed properties:
Offset from the most stable computed form in meV/atom: 37
V in Å³ per atom: 26.64
SG: P-62m (189)
Total moment in μB/cell: 0.1

a = 8.335 Å, b = 8.335 Å, c = 3.985 Å
α = 90.00°, β = 90.00°, γ = 120.00°
Element x y z (fractional)
Ho (0.395, 0.395, 0.000)
Y (0.244, 0.000, 0.500)
Te (0.667, 0.333, 0.500)
Ho (0.000, 0.605, 0.000)
Ir (0.000, 0.000, 0.000)
Y (0.000, 0.244, 0.500)
Te (0.333, 0.667, 0.500)
Ho (0.605, 0.000, 0.000)
Y (0.756, 0.756, 0.500)

***

Question: Look up the V of the fourth one.
Answer: 12.86 Å³ per atom

***

Question: Which of these has the highest V?
Answer: AcTcSb

***

Question: Which of these has the lowest V?
Answer: LiGaCu2